Entry 1:
Below is an optimized crystal structure of K2RuRh, with properties calculated at the GGA-PBE level.

extended XYZ file:
```
4
Lattice="0.0000 3.7087 3.7087 3.7087 0.0000 3.7087 3.7087 3.7087 0.0000" Properties=species:S:1:pos:R:3 pbc="T T T"
Ru 0.0000 0.0000 0.0000
K 1.8543 1.8543 1.8543
K 5.5630 5.5630 5.5630
Rh 3.7087 3.7087 3.7087
```

Results
M_tot ... 0.70 μB/atom
Theoretical density ... 4593 kg/m³
Offset from the most stable computed form ... 410 kJ/mol of formula units
SG ... Fm-3m
ΔH_f (0 K) ... 616 kJ/mol of formula units


Entry 2:
Below is an optimized crystal structure of Zr2CrSb, with properties calculated at the GGA-PBE level.

extended XYZ file:
```
4
Lattice="5.6581 0.0002 -0.0012 2.6544 4.9969 0.0012 -3.7045 -3.2501 2.7800" Properties=species:S:1:pos:R:3 pbc="T T T"
Cr 4.1735 2.5089 0.0000
Sb 1.8063 2.2748 1.3906
Zr 8.2715 4.9724 0.0000
Zr 2.8257 -0.5135 1.3894
```

Results
E_tot ... -7.82 eV/atom
M_tot ... 0.00 μB/atom
Theoretical density ... 7525 kg/m³
SG ... Imm2


Entry 3:
Below is an optimized crystal structure of Hf3PdBr, with properties calculated at the GGA-PBE level.

extended XYZ file:
```
5
Lattice="4.8528 0.0000 0.0000 0.0000 4.8528 0.0000 0.0000 0.0000 4.8528" Properties=species:S:1:pos:R:3 pbc="T T T"
Hf 0.0000 2.4264 0.0000
Hf 0.0000 0.0000 2.4264
Hf 2.4264 0.0000 0.0000
Br 0.0000 0.0000 0.0000
Pd 2.4264 2.4264 2.4264
```

Results
E_tot ... -6.70 eV/atom
M_tot ... 0.00 μB/atom
Theoretical density ... 10488 kg/m³
SG ... Pm-3m